Computed, not measured: a geometry-optimized BaAgPCl2 structure at the PBE level of DFT.

CIF file:
```
data_BaAgPCl2
_chemical_formula_sum 'Ba1 Ag1 P1 Cl2'
_cell_length_a 5.898
_cell_length_b 5.898
_cell_length_c 6.517
_cell_angle_alpha 90.00
_cell_angle_beta 90.00
_cell_angle_gamma 90.00
_symmetry_space_group_name_H-M 'P 4/m m m'
_symmetry_Int_Tables_number 123
_symmetry_space_group_name_Hall '-P 4 2'
loop_
_atom_site_label
_atom_site_type_symbol
_atom_site_fract_x
_atom_site_fract_y
_atom_site_fract_z
_atom_site_occupancy
Ba1 Ba 0.000 0.000 0.000 1
Ag1 Ag 0.500 0.500 0.500 1
P1 P 0.000 0.000 0.500 1
Cl1 Cl 0.000 0.500 0.000 1
```

Computed properties:
Total magnetization (μB per cell): 2.0
DFT total energy (eV/atom): -3.048
E above lowest polymorph (meV per atom): 486
Formation energy from raw total energies (kJ/mol of formula units): -131